A) ## CdSn3Au (PBE-GGA)

Data for a relaxed CdSn3Au crystal.

Lattice parameters (Å, degrees): 11.636 7.156 13.039 90.00 109.18 90.00
Space group C2/c (No. 15)
One atom of each set of equivalent atoms:
Cd 0.066 0.086 0.164
Sn 0.031 0.299 0.542
Sn 0.161 0.431 0.299
Sn 0.240 0.121 0.897
Au 0.000 0.259 0.750
Au 0.250 0.250 0.500


B) ## CdSn3Au (PBE-GGA)

Data for a relaxed CdSn3Au crystal.

Lattice parameters (Å, degrees): 5.427 5.427 5.427 90.00 90.00 90.00
Space group Pm-3m (No. 221)
One atom of each set of equivalent atoms:
Cd 0.000 0.000 0.000
Sn 0.000 0.500 0.500
Au 0.500 0.500 0.500


Bottom line: A), by a margin of 0.366 eV/atom.


A) ## CdSnAu3 (PBE-GGA)

Data for a relaxed CdSnAu3 crystal.

Lattice parameters (Å, degrees): 5.226 5.226 5.226 90.00 90.00 90.00
Space group Pm-3m (No. 221)
One atom of each set of equivalent atoms:
Cd 0.000 0.000 0.000
Sn 0.500 0.500 0.500
Au 0.000 0.500 0.500


B) ## CdSnAu3 (PBE-GGA)

Data for a relaxed CdSnAu3 crystal.

Lattice parameters (Å, degrees): 3.239 27.609 4.673 90.00 90.00 90.00
Space group Cmcm (No. 63)
One atom of each set of equivalent atoms:
Cd 0.000 0.073 0.250
Sn 0.000 0.210 0.750
Au 0.000 0.318 0.750
Au 0.000 0.378 0.250
Au 0.000 0.475 0.250


Bottom line: B), by a margin of 0.446 eV/atom.


A) ## CdSnAu3 (PBE-GGA)

Data for a relaxed CdSnAu3 crystal.

Lattice parameters (Å, degrees): 5.154 5.154 5.154 90.00 90.00 90.00
Space group Pm-3m (No. 221)
One atom of each set of equivalent atoms:
Cd 0.000 0.000 0.000
Sn 0.500 0.500 0.500
Au 0.000 0.000 0.500


B) ## CdSnAu3 (PBE-GGA)

Data for a relaxed CdSnAu3 crystal.

Lattice parameters (Å, degrees): 4.582 7.357 6.699 90.00 109.85 90.00
Space group P2_1/m (No. 11)
One atom of each set of equivalent atoms:
Cd 0.134 0.250 0.267
Sn 0.137 0.750 0.280
Au 0.325 0.511 0.649
Au 0.499 0.250 0.991


Bottom line: B), by a margin of 0.630 eV/atom.


A) ## Cd3SnAu (PBE-GGA)

Data for a relaxed Cd3SnAu crystal.

Lattice parameters (Å, degrees): 5.257 5.257 5.257 90.00 90.00 90.00
Space group Pm-3m (No. 221)
One atom of each set of equivalent atoms:
Cd 0.000 0.000 0.500
Sn 0.500 0.500 0.500
Au 0.000 0.000 0.000


B) ## Cd3SnAu (PBE-GGA)

Data for a relaxed Cd3SnAu crystal.

Lattice parameters (Å, degrees): 3.124 8.635 8.914 90.00 90.17 90.00
Space group P2_1/m (No. 11)
One atom of each set of equivalent atoms:
Cd 0.249 0.034 0.262
Cd 0.251 0.750 0.523
Sn 0.251 0.750 0.966
Au 0.250 0.250 0.753


C) ## Cd3SnAu (PBE-GGA)

Data for a relaxed Cd3SnAu crystal.

Lattice parameters (Å, degrees): 7.530 7.215 9.531 90.00 114.17 90.00
Space group P2_1/c (No. 14)
One atom of each set of equivalent atoms:
Cd 0.083 0.200 0.064
Cd 0.268 0.550 0.971
Cd 0.398 0.618 0.703
Sn 0.160 0.557 0.278
Au 0.424 0.186 0.012


Bottom line: C), by a margin of 0.010 eV/atom.


A) ## Cd3SnAu3 (PBE-GGA)

Data for a relaxed Cd3SnAu3 crystal.

Lattice parameters (Å, degrees): 8.471 8.471 8.471 90.00 90.00 90.00
Space group P2_13 (No. 198)
One atom of each set of equivalent atoms:
Cd 0.069 0.431 0.569
Cd 0.158 0.158 0.158
Cd 0.175 0.825 0.325
Sn 0.082 0.582 0.918
Au 0.007 0.759 0.633


B) ## Cd3SnAu3 (PBE-GGA)

Data for a relaxed Cd3SnAu3 crystal.

Lattice parameters (Å, degrees): 7.805 11.212 7.295 90.00 90.74 90.00
Space group C2/m (No. 12)
One atom of each set of equivalent atoms:
Cd 0.000 0.137 0.000
Cd 0.000 0.234 0.500
Cd 0.152 0.500 0.902
Sn 0.180 0.500 0.408
Au 0.065 0.000 0.321
Au 0.204 0.298 0.194


C) ## Cd3SnAu3 (PBE-GGA)

Data for a relaxed Cd3SnAu3 crystal.

Lattice parameters (Å, degrees): 7.581 7.581 7.581 90.00 90.00 90.00
Space group Pm-3n (No. 223)
One atom of each set of equivalent atoms:
Cd 0.000 0.250 0.500
Sn 0.000 0.000 0.000
Au 0.000 0.500 0.250


Bottom line: A), by a margin of 0.043 eV/atom.


A) ## Cd8SnAu2 (PBE-GGA)

Data for a relaxed Cd8SnAu2 crystal.

Lattice parameters (Å, degrees): 15.115 4.473 7.445 90.00 103.32 90.00
Space group C2/m (No. 12)
One atom of each set of equivalent atoms:
Cd 0.037 0.000 0.221
Cd 0.108 0.500 0.990
Cd 0.154 0.000 0.753
Cd 0.183 0.500 0.425
Sn 0.000 0.500 0.500
Au 0.222 0.000 0.182


B) ## Cd8SnAu2 (PBE-GGA)

Data for a relaxed Cd8SnAu2 crystal.

Lattice parameters (Å, degrees): 8.273 12.188 5.348 90.00 96.82 90.00
Space group C2/m (No. 12)
One atom of each set of equivalent atoms:
Cd 0.000 0.237 0.000
Cd 0.128 0.000 0.812
Cd 0.187 0.376 0.608
Sn 0.000 0.500 0.000
Au 0.000 0.180 0.500


Bottom line: A), by a margin of 0.015 eV/atom.